# SrRu2Cl, optimized geometry, DFT PBEsol
data_SrRu2Cl
_chemical_formula_sum 'Sr1 Ru2 Cl1'
_space_group_name_H-M_alt 'P 1'
_space_group_IT_number 1
_space_group_name_Hall 'P 1'
_cell_length_a 3.938
_cell_length_b 3.938
_cell_length_c 6.982
_cell_angle_alpha 102.27
_cell_angle_beta 102.27
_cell_angle_gamma 57.51
loop_
_atom_site_label
_atom_site_fract_x
_atom_site_fract_y
_atom_site_fract_z
Sr1 0.000 0.000 0.000
Ru1 0.401 0.401 0.309
Ru2 0.751 0.751 0.407
Cl1 0.254 0.254 0.713
# space group	Cm (8)
# distance to the lowest polymorph of the same formula	0.000	eV per atom
# M_tot	0.00	Bohr magnetons per cell
# formation energy from raw total energies	-7	kJ/mol of formula units
# Fermi-level density of states	0.62	states/eV/atom

# Al2Te3, optimized geometry, DFT PBEsol
data_Al2Te3
_chemical_formula_sum 'Al4 Te6'
_space_group_name_H-M_alt 'P 1'
_space_group_IT_number 1
_space_group_name_Hall 'P 1'
_cell_length_a 7.277
_cell_length_b 7.277
_cell_length_c 7.204
_cell_angle_alpha 99.18
_cell_angle_beta 99.18
_cell_angle_gamma 120.51
loop_
_atom_site_label
_atom_site_fract_x
_atom_site_fract_y
_atom_site_fract_z
Al1 0.087 0.913 0.500
Al2 0.280 0.780 0.003
Al3 0.780 0.280 0.503
Al4 0.913 0.087 0.000
Te1 0.095 0.250 0.388
Te2 0.250 0.095 0.888
Te3 0.403 0.875 0.393
Te4 0.546 0.708 0.856
Te5 0.708 0.546 0.356
Te6 0.875 0.403 0.893
# space group	Cc (9)
# M_tot	0.00	Bohr magnetons per cell
# formation energy from raw total energies	-178	kJ/mol of formula units

# CsZrBeGa2, optimized geometry, DFT PBEsol
data_CsZrBeGa2
_chemical_formula_sum 'Cs1 Zr1 Be1 Ga2'
_space_group_name_H-M_alt 'P 1'
_space_group_IT_number 1
_space_group_name_Hall 'P 1'
_cell_length_a 5.381
_cell_length_b 5.381
_cell_length_c 5.164
_cell_angle_alpha 90.00
_cell_angle_beta 90.00
_cell_angle_gamma 90.00
loop_
_atom_site_label
_atom_site_fract_x
_atom_site_fract_y
_atom_site_fract_z
Cs1 0.000 0.000 0.000
Zr1 0.500 0.500 0.500
Be1 0.500 0.500 0.000
Ga1 0.000 0.500 0.500
Ga2 0.500 0.000 0.500
# space group	P4/mmm (123)
# M_tot	2.07	Bohr magnetons per cell
# formation energy from the elements	0.70	eV per atom
# Fermi-level density of states	1.29	states/eV/atom

# BAsSe2O, optimized geometry, DFT PBEsol
data_BAsSe2O
_chemical_formula_sum 'B1 As1 Se2 O1'
_space_group_name_H-M_alt 'P 1'
_space_group_IT_number 1
_space_group_name_Hall 'P 1'
_cell_length_a 4.445
_cell_length_b 4.445
_cell_length_c 4.220
_cell_angle_alpha 90.00
_cell_angle_beta 90.00
_cell_angle_gamma 90.00
loop_
_atom_site_label
_atom_site_fract_x
_atom_site_fract_y
_atom_site_fract_z
B1 0.000 0.000 0.000
As1 0.500 0.500 0.000
Se1 0.000 0.500 0.500
Se2 0.500 0.000 0.500
O1 0.500 0.500 0.500
# space group	P4/mmm (123)
# M_tot	0.00	Bohr magnetons per cell
# formation energy from raw total energies	546	kJ/mol of formula units
# Fermi-level density of states	0.71	states/eV/atom

# CoGeH2Rh, optimized geometry, DFT PBEsol
data_CoGeH2Rh
_chemical_formula_sum 'Co1 Ge1 H2 Rh1'
_space_group_name_H-M_alt 'P 1'
_space_group_IT_number 1
_space_group_name_Hall 'P 1'
_cell_length_a 3.377
_cell_length_b 3.377
_cell_length_c 4.893
_cell_angle_alpha 90.00
_cell_angle_beta 90.00
_cell_angle_gamma 90.00
loop_
_atom_site_label
_atom_site_fract_x
_atom_site_fract_y
_atom_site_fract_z
Co1 0.000 0.000 0.000
Ge1 0.000 0.000 0.500
H1 0.000 0.500 0.500
H2 0.500 0.000 0.500
Rh1 0.500 0.500 0.000
# space group	P4/mmm (123)
# M_tot	2.25	Bohr magnetons per cell
# DFT total energy	-4.751	eV/atom
# Fermi-level density of states	0.54	states/eV/atom

# MgHgSb2, optimized geometry, DFT PBEsol
data_MgHgSb2
_chemical_formula_sum 'Mg1 Hg1 Sb2'
_space_group_name_H-M_alt 'P 1'
_space_group_IT_number 1
_space_group_name_Hall 'P 1'
_cell_length_a 4.390
_cell_length_b 4.390
_cell_length_c 5.108
_cell_angle_alpha 90.00
_cell_angle_beta 90.00
_cell_angle_gamma 90.00
loop_
_atom_site_label
_atom_site_fract_x
_atom_site_fract_y
_atom_site_fract_z
Mg1 0.000 0.000 0.000
Hg1 0.500 0.500 0.000
Sb1 0.000 0.500 0.500
Sb2 0.500 0.000 0.500
# space group	P4/mmm (123)
# distance to the lowest polymorph of the same formula	0.037	eV per atom
# M_tot	0.00	Bohr magnetons per cell
# formation energy from raw total energies	-7	kJ/mol of formula units
# Fermi-level density of states	0.48	states/eV/atom

# CuRh2W, optimized geometry, DFT PBEsol
data_CuRh2W
_chemical_formula_sum 'Cu1 Rh2 W1'
_space_group_name_H-M_alt 'P 1'
_space_group_IT_number 1
_space_group_name_Hall 'P 1'
_cell_length_a 3.222
_cell_length_b 3.222
_cell_length_c 5.328
_cell_angle_alpha 90.00
_cell_angle_beta 90.00
_cell_angle_gamma 90.00
loop_
_atom_site_label
_atom_site_fract_x
_atom_site_fract_y
_atom_site_fract_z
Cu1 0.000 0.000 0.000
Rh1 0.000 0.000 0.511
Rh2 0.500 0.500 0.211
W1 0.500 0.500 0.746
# space group	P4mm (99)
# distance to the lowest polymorph of the same formula	0.307	eV per atom
# M_tot	0.00	Bohr magnetons per cell
# formation energy from the elements	0.15	eV per atom
# Fermi-level density of states	0.98	states/eV/atom

# LiTcSb3, optimized geometry, DFT PBEsol
data_LiTcSb3
_chemical_formula_sum 'Li1 Tc1 Sb3'
_space_group_name_H-M_alt 'P 1'
_space_group_IT_number 1
_space_group_name_Hall 'P 1'
_cell_length_a 4.798
_cell_length_b 4.798
_cell_length_c 4.798
_cell_angle_alpha 90.00
_cell_angle_beta 90.00
_cell_angle_gamma 90.00
loop_
_atom_site_label
_atom_site_fract_x
_atom_site_fract_y
_atom_site_fract_z
Li1 0.000 0.000 0.000
Tc1 0.500 0.500 0.500
Sb1 0.000 0.000 0.500
Sb2 0.000 0.500 0.000
Sb3 0.500 0.000 0.000
# space group	Pm-3m (221)
# distance to the lowest polymorph of the same formula	0.598	eV per atom
# M_tot	2.64	Bohr magnetons per cell
# formation energy from raw total energies	472	kJ/mol of formula units
# Fermi-level density of states	0.97	states/eV/atom

# LiCrSn2Ge, optimized geometry, DFT PBEsol
data_LiCrSn2Ge
_chemical_formula_sum 'Li1 Cr1 Sn2 Ge1'
_space_group_name_H-M_alt 'P 1'
_space_group_IT_number 1
_space_group_name_Hall 'P 1'
_cell_length_a 5.021
_cell_length_b 5.021
_cell_length_c 4.748
_cell_angle_alpha 90.00
_cell_angle_beta 90.00
_cell_angle_gamma 90.00
loop_
_atom_site_label
_atom_site_fract_x
_atom_site_fract_y
_atom_site_fract_z
Li1 0.000 0.000 0.000
Cr1 0.000 0.000 0.500
Sn1 0.000 0.500 0.500
Sn2 0.500 0.000 0.500
Ge1 0.500 0.500 0.000
# space group	P4/mmm (123)
# M_tot	3.24	Bohr magnetons per cell
# formation energy from the elements	0.60	eV per atom
# Fermi-level density of states	0.61	states/eV/atom

# SrMgSe2, optimized geometry, DFT PBEsol
data_SrMgSe2
_chemical_formula_sum 'Sr1 Mg1 Se2'
_space_group_name_H-M_alt 'P 1'
_space_group_IT_number 1
_space_group_name_Hall 'P 1'
_cell_length_a 7.133
_cell_length_b 7.133
_cell_length_c 7.133
_cell_angle_alpha 33.65
_cell_angle_beta 33.65
_cell_angle_gamma 33.65
loop_
_atom_site_label
_atom_site_fract_x
_atom_site_fract_y
_atom_site_fract_z
Sr1 0.000 0.000 0.000
Mg1 0.500 0.500 0.500
Se1 0.239 0.239 0.239
Se2 0.761 0.761 0.761
# space group	R-3m (166)
# M_tot	0.00	Bohr magnetons per cell
# formation energy from raw total energies	-625	kJ/mol of formula units
# Fermi-level density of states	0.00	states/eV/atom

# TlBiTePt2, optimized geometry, DFT PBEsol
data_TlBiTePt2
_chemical_formula_sum 'Tl1 Bi1 Te1 Pt2'
_space_group_name_H-M_alt 'P 1'
_space_group_IT_number 1
_space_group_name_Hall 'P 1'
_cell_length_a 4.923
_cell_length_b 4.923
_cell_length_c 5.952
_cell_angle_alpha 90.00
_cell_angle_beta 90.00
_cell_angle_gamma 90.00
loop_
_atom_site_label
_atom_site_fract_x
_atom_site_fract_y
_atom_site_fract_z
Tl1 0.000 0.000 0.000
Bi1 0.500 0.500 0.000
Te1 0.500 0.500 0.500
Pt1 0.000 0.500 0.500
Pt2 0.500 0.000 0.500
# space group	P4/mmm (123)
# M_tot	0.00	Bohr magnetons per cell
# formation energy from raw total energies	315	kJ/mol of formula units
# Fermi-level density of states	0.75	states/eV/atom

# Y2SbMo, optimized geometry, DFT PBEsol
data_Y2SbMo
_chemical_formula_sum 'Y2 Sb1 Mo1'
_space_group_name_H-M_alt 'P 1'
_space_group_IT_number 1
_space_group_name_Hall 'P 1'
_cell_length_a 9.703
_cell_length_b 9.703
_cell_length_c 9.703
_cell_angle_alpha 20.57
_cell_angle_beta 20.57
_cell_angle_gamma 20.57
loop_
_atom_site_label
_atom_site_fract_x
_atom_site_fract_y
_atom_site_fract_z
Y1 0.000 0.000 0.000
Y2 0.228 0.228 0.228
Sb1 0.475 0.475 0.475
Mo1 0.745 0.745 0.745
# space group	R3m (160)
# M_tot	0.84	Bohr magnetons per cell
# formation energy from raw total energies	49	kJ/mol of formula units
# Fermi-level density of states	1.04	states/eV/atom